LiZrCr2: optimized geometry, PBE.

a b c (Å): 2.686 3.932 5.834
angles (deg): 90.00 102.54 90.00
Fractional coordinates of all 4 atoms:
Li  0.000  0.000  0.000
Zr  0.619  0.500  0.305
Cr  0.180  0.000  0.586
Cr  0.512  0.500  0.757

- symmetry = Pm
- E_tot (eV per cell) = -28.09
- volume (Å³ per cell) = 60.1


LiZrCr2: optimized geometry, PBE.

a b c (Å): 5.127 5.127 5.127
angles (deg): 143.27 133.66 60.54
Fractional coordinates of all 4 atoms:
Li  0.000  0.000  0.000
Zr  0.500  0.500  0.000
Cr  0.248  0.748  0.500
Cr  0.752  0.252  0.500

- symmetry = Immm
- E_tot (eV per cell) = -27.56
- volume (Å³ per cell) = 57.7


LiZrCr2: optimized geometry, PBE.

a b c (Å): 2.763 4.617 4.711
angles (deg): 90.00 97.04 90.00
Fractional coordinates of all 4 atoms:
Li  0.000  0.000  0.000
Zr  0.500  0.000  0.500
Cr  0.182  0.500  0.728
Cr  0.818  0.500  0.272

- symmetry = P2/m
- E_tot (eV per cell) = -27.49
- volume (Å³ per cell) = 59.6


LiZr2Cr: optimized geometry, PBE.

a b c (Å): 4.733 4.733 3.231
angles (deg): 90.00 90.00 90.00
Fractional coordinates of all 4 atoms:
Li  0.000  0.000  0.000
Zr  0.000  0.500  0.500
Zr  0.500  0.000  0.500
Cr  0.500  0.500  0.000

- symmetry = P4/mmm
- E_tot (eV per cell) = -27.71
- volume (Å³ per cell) = 72.4


LiZrCr2: optimized geometry, PBE.

a b c (Å): 3.185 4.358 4.481
angles (deg): 90.00 90.00 90.00
Fractional coordinates of all 4 atoms:
Li  0.000  0.000  0.000
Zr  0.500  0.500  0.000
Cr  0.000  0.500  0.500
Cr  0.500  0.000  0.500

- symmetry = Pmmm
- E_tot (eV per cell) = -28.02
- volume (Å³ per cell) = 62.2


LiZrCr2: optimized geometry, PBE.

a b c (Å): 4.452 4.452 4.452
angles (deg): 120.09 120.09 89.85
Fractional coordinates of all 4 atoms:
Li  0.000  0.000  0.000
Zr  0.250  0.750  0.500
Cr  0.500  0.500  0.000
Cr  0.750  0.250  0.500

- symmetry = I-4m2
- E_tot (eV per cell) = -28.43
- volume (Å³ per cell) = 62.3


LiZr3Cr: optimized geometry, PBE.

a b c (Å): 4.898 4.898 4.898
angles (deg): 90.00 90.00 90.00
Fractional coordinates of all 5 atoms:
Li  0.000  0.000  0.000
Zr  0.000  0.500  0.500
Zr  0.500  0.000  0.500
Zr  0.500  0.500  0.000
Cr  0.500  0.500  0.500

- polymorph energy (0 for the lowest one) (meV per atom) = 0
- symmetry = Pm-3m
- volume (Å³ per cell) = 117.5


LiZrCr4: optimized geometry, PBE.

a b c (Å): 4.934 4.934 4.934
angles (deg): 60.00 60.00 60.00
Fractional coordinates of all 6 atoms:
Li  0.000  0.000  0.000
Zr  0.750  0.750  0.750
Cr  0.374  0.374  0.374
Cr  0.374  0.374  0.877
Cr  0.374  0.877  0.374
Cr  0.877  0.374  0.374

- symmetry = F-43m
- E_tot (eV per cell) = -46.91
- volume (Å³ per cell) = 85.0